The following is a DFT calculation (PBE) of an optimized crystal structure of MgTa2Pt.

Output
The formation energy comes out at -124.8 meV/atom. The calculation puts the volume at 17.261 A^3/atom. The value obtained for the size of the total moment is 0.00 Bohr magnetons per cell.

a = 2.8515 Å, b = 4.2864 Å, c = 5.6488 Å
α = 90.00°, β = 90.00°, γ = 90.00°
Closest atoms and distances in Å follow each position.
Fractional positions:
Mg 0.5000 0.5000 0.2500  2 Pt 2.82, 2 Mg 2.85, 8 Ta 2.94
Pt 0.5000 0.5000 0.7500  2 Mg 2.82, 2 Pt 2.85, 8 Ta 2.93
Ta 0.0000 0.0000 0.9977  4 Ta 2.80-2.85, 4 Pt 2.93, 4 Mg 2.94
Ta 0.0000 0.0000 0.5023  4 Ta 2.80-2.85, 4 Pt 2.93, 4 Mg 2.94


The following is a DFT calculation (PBE) of an optimized crystal structure of MgTaPt3.

Output
The formation energy comes out at 482.9 meV/atom. The calculation puts the volume at 23.439 A^3/atom. The value obtained for the size of the total moment is 0.00 Bohr magnetons per cell. The calculation puts the polymorph energy (0 for the lowest one) at 0 meV per atom.

a = 4.8937 Å, b = 4.8937 Å, c = 4.8937 Å
α = 90.00°, β = 90.00°, γ = 90.00°
Closest atoms and distances in Å follow each position.
Fractional positions:
Mg 0.5000 0.5000 0.5000  12 Pt 3.46
Pt 0.0000 0.5000 0.0000  2 Ta 2.45
Pt 0.0000 0.0000 0.5000  2 Ta 2.45
Pt 0.5000 0.0000 0.0000  2 Ta 2.45
Ta 0.0000 0.0000 0.0000  6 Pt 2.45


The following is a DFT calculation (PBE) of an optimized crystal structure of Mg5TaPt6.

Output
The formation energy comes out at -807.1 meV/atom. The calculation puts the volume at 16.330 A^3/atom. The value obtained for the size of the total moment is 0.00 Bohr magnetons per cell.

a = 4.5374 Å, b = 6.3523 Å, c = 7.1674 Å
α = 90.00°, β = 71.55°, γ = 90.00°
Closest atoms and distances in Å follow each position.
Fractional positions:
Mg 0.6657 0.5000 0.6686  8 Pt 2.77-2.84
Mg 0.3282 0.0000 0.3435  8 Pt 2.77-2.78
Mg 0.0000 0.5000 0.0000  8 Pt 2.71-2.81
Mg 0.6718 0.0000 0.6565  8 Pt 2.77-2.78
Mg 0.3343 0.5000 0.3314  8 Pt 2.77-2.84
Pt 0.8388 0.7494 0.3225  7 Mg 2.71-2.84, 1 Ta 2.71
Pt 0.8387 0.2506 0.3225  7 Mg 2.71-2.84, 1 Ta 2.71
Pt 0.5000 0.2386 0.0000  2 Ta 2.73, 6 Mg 2.78-2.81, 1 Pt 3.03
Pt 0.5000 0.7614 0.0000  2 Ta 2.73, 6 Mg 2.78-2.81, 1 Pt 3.03
Pt 0.1613 0.7494 0.6775  7 Mg 2.71-2.84, 1 Ta 2.71
Pt 0.1612 0.2506 0.6775  7 Mg 2.71-2.84, 1 Ta 2.71
Ta 0.0000 0.0000 0.0000  8 Pt 2.71-2.73


The following is a DFT calculation (PBE) of an optimized crystal structure of MgTaPt.

Output
The formation energy comes out at -241.5 meV/atom. The calculation puts the volume at 16.872 A^3/atom. The value obtained for the size of the total moment is 0.00 Bohr magnetons per cell.

a = 4.9309 Å, b = 4.9309 Å, c = 4.9309 Å
α = 146.51°, β = 129.38°, γ = 62.07°
Closest atoms and distances in Å follow each position.
Fractional positions:
Mg 0.9952 0.9952 0.0000  5 Ta 2.76-2.94, 2 Mg 2.84, 5 Pt 2.88
Pt 0.3358 0.3358 0.0000  5 Ta 2.81-2.91, 2 Pt 2.84, 5 Mg 2.88
Ta 0.6689 0.6689 0.0000  5 Mg 2.76-2.94, 5 Pt 2.81-2.91, 2 Ta 2.84


The following is a DFT calculation (PBE) of an optimized crystal structure of MgTa2Pt.

Output
The formation energy comes out at -183.4 meV/atom. The calculation puts the volume at 17.241 A^3/atom. The value obtained for the size of the total moment is 0.00 Bohr magnetons per cell.

a = 4.2934 Å, b = 4.0079 Å, c = 4.0079 Å
α = 90.00°, β = 90.00°, γ = 90.00°
Closest atoms and distances in Å follow each position.
Fractional positions:
Mg 0.5000 0.5000 0.0000  4 Pt 2.83, 8 Ta 2.94
Pt 0.5000 0.0000 0.5000  4 Mg 2.83, 8 Ta 2.94
Ta 0.0000 0.0000 0.0000  4 Ta 2.83, 4 Mg 2.94, 4 Pt 2.94
Ta 0.0000 0.5000 0.5000  4 Ta 2.83, 4 Mg 2.94, 4 Pt 2.94


The following is a DFT calculation (PBE) of an optimized crystal structure of MgTaPt.

Output
The formation energy comes out at -291.2 meV/atom. The calculation puts the volume at 21.356 A^3/atom. The value obtained for the size of the total moment is 0.00 Bohr magnetons per cell.

a = 4.5498 Å, b = 4.5498 Å, c = 6.1899 Å
α = 90.00°, β = 90.00°, γ = 90.00°
Closest atoms and distances in Å follow each position.
Fractional positions:
Ta 0.5000 0.5000 0.5000  4 Pt 2.59
Ta 0.0000 0.0000 0.5000  4 Pt 2.59
Mg 0.5000 0.5000 0.0000  4 Pt 2.93, 2 Ta 3.09, 4 Mg 3.22
Mg 0.0000 0.0000 0.0000  4 Pt 2.93, 2 Ta 3.09, 4 Mg 3.22
Pt 0.5000 0.0000 0.7012  4 Ta 2.59
Pt 0.0000 0.5000 0.2988  4 Ta 2.59


What is the formula in the first record? MgTa2Pt